A plane-wave DFT calculation with GGA-PBE was carried out for a geometry-optimized Al2FeBr structure.

Final energy   -0.308 Ry/atom
Energy relative to the elements, uncorrected   210 meV/atom
Relative energy among the computed polymorphs   0.288 eV per atom
DOS at the Fermi energy   2.499 states/eV/f.u.
Crystal system   tetragonal

a = 3.094 Å, b = 3.094 Å, c = 7.690 Å
α = 90.00°, β = 90.00°, γ = 90.00°
Space group P4mm (No. 99)
Unique sites:
Al 0.000 0.000 0.000 (multiplicity 1)
Al 0.500 0.500 0.234 (multiplicity 1)
Fe 0.500 0.500 0.821 (multiplicity 1)
Br 0.000 0.000 0.609 (multiplicity 1)



A plane-wave DFT calculation with GGA-PBE was carried out for a geometry-optimized AcZn3CuIr structure.

Final energy   -0.270 Ry/atom
DOS at the Fermi energy   3.328 states/eV/f.u.
Crystal system   orthorhombic
ΔE_f   -187 meV per atom

a = 6.432 Å, b = 12.633 Å, c = 5.688 Å
α = 90.00°, β = 90.00°, γ = 90.00°
Space group Cmcm (No. 63)
Unique sites:
Ac 0.000 0.222 0.250 (multiplicity 4)
Zn 0.000 0.352 0.750 (multiplicity 4)
Zn 0.203 0.000 0.000 (multiplicity 8)
Cu 0.000 0.457 0.250 (multiplicity 4)
Ir 0.000 0.148 0.750 (multiplicity 4)



Which formula does entry 2 have?
AcZn3CuIr



What is the DOS at the Fermi energy in the second record?
3.328 states/eV/f.u.